# 1
Here is a relaxed TbMo2C2 crystal from Alexandria. Energies are from PBE.

Geometry as POSCAR:
```
TbMo2C2
1.0
-1.528 -1.449 5.277
5.655 -0.530 0.135
-1.684 5.377 -1.391
C Tb Mo
4 2 4
Direct
0.583 0.917 0.750 C
0.417 0.083 0.250 C
0.167 0.333 0.750 C
0.833 0.667 0.250 C
0.875 0.625 0.750 Tb
0.125 0.375 0.250 Tb
0.766 0.016 0.532 Mo
0.234 0.984 0.468 Mo
0.484 0.734 0.968 Mo
0.516 0.266 0.032 Mo
```

Summary:
Energy relative to the elements: -0.46 eV per formula unit
Calculated density: 8.61 g/cm3
Calculated total energy: -9.0395 eV/atom

=====

# 2
Here is a relaxed MgAgSe2N crystal from Alexandria. Energies are from PBE.

Geometry as POSCAR:
```
MgAgSe2N
1.0
5.209 0.000 0.000
0.000 4.012 0.000
0.000 0.000 5.209
Mg Se Ag N
1 2 1 1
Direct
0.500 0.500 0.500 Mg
0.000 0.000 0.500 Se
0.500 0.000 0.000 Se
0.000 0.000 0.000 Ag
0.000 0.500 0.000 N
```

Summary:
Calculated density: 4.64 g/cm3
Calculated total energy: -3.2125 eV/atom
Formation energy from raw total energies: 736 meV/atom
Relative energy among the computed polymorphs: 0.0430 eV per atom

=====

# 3
Here is a relaxed Pm4Cd2Cl crystal from Alexandria. Energies are from PBE.

Geometry as POSCAR:
```
Pm4Cd2Cl
1.0
5.320 0.000 0.000
0.000 5.320 0.000
-2.660 -2.660 7.661
Pm Cl Cd
4 1 2
Direct
0.000 0.500 0.000 Pm
0.815 0.815 0.629 Pm
0.500 0.000 0.000 Pm
0.185 0.185 0.371 Pm
0.000 0.000 0.000 Cl
0.384 0.384 0.768 Cd
0.616 0.616 0.232 Cd
```

Summary:
Calculated density: 6.44 g/cm3
Calculated total energy: -3.6534 eV/atom
Formation energy from raw total energies: -413 meV/atom

=====

# 4
Here is a relaxed YCr2Ir crystal from Alexandria. Energies are from PBE.

Geometry as POSCAR:
```
YCr2Ir
1.0
2.361 -0.544 3.713
-1.956 0.438 3.955
-0.668 -3.565 2.550
Cr Ir Y
2 1 1
Direct
0.750 0.750 0.750 Cr
0.250 0.250 0.250 Cr
0.500 0.500 0.500 Ir
0.000 0.000 0.000 Y
```

Summary:
Energy relative to the elements: 1.37 eV per formula unit
Calculated density: 10.38 g/cm3
Calculated total energy: -8.3002 eV/atom
Relative energy among the computed polymorphs: 0.2577 eV per atom

=====

Per-record volume, Å³ per cell: 145, 109, 217, 62